No. 1
! LiPt3N | Alexandria | PBE-GGA | relaxed; values from VASP
! Space-group type: Pm-3m, No. 221
! DOS(E_F): 0.739 states/eV/atom
! V: 72.2 Å³ per cell
! DFT total energy: -27.36 eV/f.u.
! Raw formation energy: 0.20 eV/atom
! Total magnetization: 0.00 μB per atom
! ΔE to the lowest computed polymorph: 0.0 meV per atom
! Crystal system: cubic
&SYSTEM
  ibrav = 0, nat = 5, ntyp = 3
/
ATOMIC_SPECIES
Li 6.94 Li.upf
Pt 195.08 Pt.upf
N 14.01 N.upf
ATOMIC_POSITIONS angstrom
Li 0.000 0.000 0.000
Pt 0.000 2.082 2.082
Pt 2.082 0.000 2.082
Pt 2.082 2.082 0.000
N 2.082 2.082 2.082
CELL_PARAMETERS angstrom
4.164 0.000 0.000
0.000 4.164 0.000
0.000 0.000 4.164

***

No. 2
! Ho2Al5Zn3 | Alexandria | PBE-GGA | relaxed; values from VASP
! Space-group type: Ibam, No. 72
! DOS(E_F): 0.263 states/eV/atom
! V: 373.6 Å³ per cell
! DFT total energy: -35.16 eV/f.u.
! ΔE_f: -0.347 eV/atom
! Total magnetization: 0.00 μB per atom
! Crystal system: orthorhombic
&SYSTEM
  ibrav = 0, nat = 20, ntyp = 3
/
ATOMIC_SPECIES
Ho 164.93 Ho.upf
Al 26.98 Al.upf
Zn 65.41 Zn.upf
ATOMIC_POSITIONS angstrom
Ho 2.748 1.482 0.000
Ho 2.748 -1.482 2.913
Ho 2.755 7.308 0.000
Ho 2.755 4.344 2.913
Al 5.503 2.948 -1.457
Al 7.056 1.409 0.000
Al 0.000 0.000 1.457
Al 1.553 4.418 0.000
Al 0.000 2.878 1.457
Al 5.503 2.948 1.457
Al 3.950 1.409 2.913
Al 0.000 0.000 4.370
Al -1.553 4.418 2.913
Al 0.000 2.878 4.370
Zn 9.463 1.439 0.000
Zn 5.503 0.000 1.457
Zn 3.960 4.387 0.000
Zn 1.542 1.439 2.913
Zn 0.000 5.826 1.457
Zn -3.960 4.387 2.913
CELL_PARAMETERS angstrom
-5.503 5.826 2.913
5.503 -5.826 2.913
5.503 5.826 -2.913

***

No. 3
! TlOs4O12 | Alexandria | PBE-GGA | relaxed; values from VASP
! Space-group type: Im-3m, No. 229
! DOS(E_F): 0.239 states/eV/atom
! V: 225.1 Å³ per cell
! DFT total energy: -121.61 eV/f.u.
! Raw formation energy: -0.87 eV/atom
! Total magnetization: 0.00 μB per atom
! Crystal system: cubic
&SYSTEM
  ibrav = 0, nat = 17, ntyp = 3
/
ATOMIC_SPECIES
Tl 204.38 Tl.upf
Os 190.23 Os.upf
O 16.00 O.upf
ATOMIC_POSITIONS angstrom
Tl 0.000 0.000 0.000
Os 1.916 1.916 -1.916
Os 1.916 -1.916 1.916
Os -1.916 1.916 1.916
Os 1.916 1.916 1.916
O 3.832 1.919 -1.919
O 3.832 -1.919 1.919
O 1.919 3.832 -1.919
O 1.913 1.913 0.000
O 1.913 0.000 1.913
O 1.919 -1.919 3.832
O 0.000 1.913 1.913
O 3.832 1.919 1.919
O -1.919 3.832 1.919
O -1.919 1.919 3.832
O 1.919 3.832 1.919
O 1.919 1.919 3.832
CELL_PARAMETERS angstrom
-3.832 3.832 3.832
3.832 -3.832 3.832
3.832 3.832 -3.832